Crystalline BiPCl at its relaxed geometry, computed with PBE-GGA.

Output
Energy relative to the elements, uncorrected ... -7.02 kcal/mol of atoms
Polymorph energy (0 for the lowest one) ... 2.59 kcal/mol of atoms
Volume ... 179.4 Å³/cell

Cell lengths 4.141, 5.038, 9.523 Å; angles 99.52, 98.93, 109.89 degrees
Positions (direct):
Bi 0.000 0.000 0.000
Bi 0.220 0.187 0.400
P 0.051 0.465 0.200
P 0.468 0.874 0.200
Cl 0.462 0.241 0.849
Cl 0.849 0.569 0.550


Crystalline HoTh14Sc at its relaxed geometry, computed with PBE-GGA.

Output
Formation enthalpy at 0 K ... 0.04 eV/atom
DOS(E_F) ... 21.1 states/eV/cell
Volume ... 508.8 Å³/cell

Cell lengths 11.517, 7.141, 7.141 Å; angles 60.03, 90.00, 90.00 degrees
Positions (direct):
Ho 0.000 0.000 0.000
Th 0.000 0.003 0.507
Th 0.000 0.507 0.003
Th 0.247 0.336 0.834
Th 0.247 0.834 0.336
Th 0.248 0.337 0.337
Th 0.251 0.836 0.836
Th 0.500 0.168 0.168
Th 0.500 0.169 0.668
Th 0.500 0.668 0.169
Th 0.500 0.668 0.668
Th 0.749 0.836 0.836
Th 0.752 0.337 0.337
Th 0.753 0.336 0.834
Th 0.753 0.834 0.336
Sc 0.000 0.500 0.500


Uncorrected energy for the records above, in order: -24.1; -114.2 eV/cell